A relaxed structure of LiCr4Cu, computed with PBE-GGA.

The value obtained for the total energy is -165.78 eV per cell.

It has space group F-43m (No. 216), with a = 6.698 Å, b = 6.698 Å, c = 6.698 Å, α = 90.00°, β = 90.00° and γ = 90.00°. The distinct sites, in fractional coordinates, are Li at (0.000, 0.000, 0.000), Cr at (0.126, 0.126, 0.374) and Cu at (0.250, 0.250, 0.750).